Crystalline MnSi3O at its relaxed geometry. Source: Alexandria via LeMat-Bulk, functional GGA+U.

Cell and atoms, written as POSCAR:
```
MnSi3O
1.0
4.1787 0.0000 0.0000
0.0000 4.1787 0.0000
0.0000 0.0000 4.1787
Si Mn O
3 1 1
direct
0.0000 0.5000 0.0000
0.0000 0.0000 0.5000
0.5000 0.0000 0.0000
0.5000 0.5000 0.5000
0.0000 0.0000 0.0000
```

Values from the calculation:
The raw total energy is -5.524 eV per atom. The total magnetic moment comes out at 4.4 μB per formula unit. Its energy above the most stable polymorph in this dataset is 0 meV/atom.